1.
4
Lattice="1.721 0.993 12.202 -1.721 0.993 12.202 0.000 -1.987 12.202" Properties=species:S:1:pos:R:3 comment="Y2TmMg, optimized geometry, DFT PBE" n_ef_per_ev_cell=3.51 m_tot_mub_per_atom=0.000 final_energy_ev_per_atom=-4.552 de_polymorph_kcal_per_mol_atoms=5.22 delta_e_f_ev_per_atom=0.196 pbc="T T T"
Y 0.000 0.000 3.279
Y 0.000 0.000 33.326
Tm 0.000 0.000 18.302
Mg 0.000 0.000 0.000


2.
12
Lattice="11.046 -2.776 0.000 11.046 2.776 0.000 -1.256 0.000 6.216" Properties=species:S:1:pos:R:3 comment="Y7Tm4Mg, optimized geometry, DFT PBE" n_ef_per_ev_cell=20.55 m_tot_mub_per_atom=0.000 final_energy_ev_per_atom=-5.278 delta_e_f_ev_per_atom=0.116 pbc="T T T"
Y 0.000 0.000 0.000
Y 2.367 0.000 3.134
Y 4.549 0.000 0.413
Y 9.135 0.000 4.333
Y 11.701 0.000 1.883
Y 16.287 0.000 5.803
Y 18.469 0.000 3.082
Tm 5.671 0.000 3.781
Tm 8.260 0.000 0.969
Tm 12.577 0.000 5.247
Tm 15.165 0.000 2.435
Mg -0.628 0.000 3.108


3.
7
Lattice="3.164 -4.862 0.000 3.164 4.862 0.000 -2.248 0.000 6.149" Properties=species:S:1:pos:R:3 comment="YTmMg5, optimized geometry, DFT PBE" n_ef_per_ev_cell=4.61 m_tot_mub_per_atom=0.000 final_energy_ev_per_atom=-2.596 delta_e_f_ev_per_atom=0.105 pbc="T T T"
Y 0.000 0.000 0.000
Tm 2.040 0.000 3.075
Mg -1.124 0.000 3.075
Mg 0.129 2.074 4.752
Mg 3.950 2.074 1.398
Mg 0.129 -2.074 4.752
Mg 3.950 -2.074 1.398


4.
4
Lattice="5.416 0.000 0.000 0.000 5.416 0.000 0.000 0.000 4.037" Properties=species:S:1:pos:R:3 comment="Y2TmMg, optimized geometry, DFT PBE" n_ef_per_ev_cell=6.01 m_tot_mub_per_atom=0.000 final_energy_ev_per_atom=-4.717 de_polymorph_kcal_per_mol_atoms=1.43 delta_e_f_ev_per_atom=0.032 pbc="T T T"
Y 0.000 2.708 0.000
Y 2.708 0.000 0.000
Tm 0.000 0.000 2.019
Mg 2.708 2.708 2.019


5.
4
Lattice="3.556 0.000 0.000 0.000 3.556 0.000 0.000 0.000 9.206" Properties=species:S:1:pos:R:3 comment="YTm2Mg, optimized geometry, DFT PBE" n_ef_per_ev_cell=5.23 m_tot_mub_per_atom=0.000 final_energy_ev_per_atom=-4.270 de_polymorph_kcal_per_mol_atoms=0.21 delta_e_f_ev_per_atom=-0.019 pbc="T T T"
Y 0.000 0.000 0.000
Tm 1.778 1.778 2.448
Tm 1.778 1.778 6.758
Mg 0.000 0.000 4.603


6.
19
Lattice="5.099 2.944 5.078 -5.099 2.944 5.078 0.000 -5.888 5.078" Properties=species:S:1:pos:R:3 comment="YTmMg17, optimized geometry, DFT PBE" n_ef_per_ev_cell=8.21 m_tot_mub_per_atom=0.000 final_energy_ev_per_atom=-2.009 delta_e_f_ev_per_atom=-0.006 pbc="T T T"
Y 0.000 0.000 0.000
Tm 0.000 0.000 5.237
Mg 0.000 -2.844 2.844
Mg -2.463 1.422 2.844
Mg -2.570 -1.484 7.703
Mg 0.000 -3.005 7.453
Mg -2.602 1.503 7.453
Mg -1.550 -2.703 10.230
Mg -3.116 0.010 10.230
Mg 2.463 1.422 2.844
Mg 0.000 0.000 8.705
Mg 1.550 -2.703 10.230
Mg -1.566 2.694 10.230
Mg 2.570 -1.484 7.703
Mg 0.000 2.968 7.703
Mg 0.000 0.000 11.732
Mg 2.602 1.503 7.453
Mg 3.116 0.010 10.230
Mg 1.566 2.694 10.230


7.
6
Lattice="3.581 0.000 0.000 0.000 3.581 0.000 0.000 0.000 14.269" Properties=species:S:1:pos:R:3 comment="Y4TmMg, optimized geometry, DFT PBE" n_ef_per_ev_cell=9.23 m_tot_mub_per_atom=0.000 final_energy_ev_per_atom=-5.335 de_polymorph_kcal_per_mol_atoms=0.00 delta_e_f_ev_per_atom=-0.015 pbc="T T T"
Y 0.000 0.000 2.166
Y 0.000 0.000 12.104
Y 1.791 1.791 4.666
Y 1.791 1.791 9.604
Tm 0.000 0.000 7.135
Mg 1.791 1.791 0.000


8.
7
Lattice="1.907 -14.151 0.000 1.907 14.151 0.000 0.000 0.000 3.654" Properties=species:S:1:pos:R:3 comment="Y2Tm2Mg3, optimized geometry, DFT PBE" n_ef_per_ev_cell=8.48 m_tot_mub_per_atom=0.000 final_energy_ev_per_atom=-3.791 de_polymorph_kcal_per_mol_atoms=0.00 delta_e_f_ev_per_atom=0.017 pbc="T T T"
Y 1.907 12.178 0.000
Y 1.907 -12.178 0.000
Tm 1.907 8.469 0.000
Tm 1.907 -8.469 0.000
Mg 1.907 3.844 1.827
Mg 1.907 0.000 1.827
Mg 1.907 -3.844 1.827


9.
14
Lattice="5.328 -5.588 0.000 5.328 5.588 0.000 -0.027 0.000 6.941" Properties=species:S:1:pos:R:3 comment="Y3TmMg3, optimized geometry, DFT PBE" n_ef_per_ev_cell=14.87 m_tot_mub_per_atom=0.029 final_energy_ev_per_atom=-4.017 delta_e_f_ev_per_atom=0.076 pbc="T T T"
Y -0.006 0.000 1.708
Y 10.635 0.000 5.233
Y 2.642 2.778 5.188
Y 2.642 -2.778 5.188
Y 7.986 2.778 1.753
Y 7.986 -2.778 1.753
Tm 3.338 0.000 0.028
Tm 7.290 0.000 6.913
Mg 5.328 2.726 0.000
Mg 2.887 0.000 3.475
Mg 5.314 1.956 3.470
Mg 5.314 -1.956 3.470
Mg 7.741 0.000 3.466
Mg 5.328 -2.726 0.000


10.
4
Lattice="1.745 1.008 11.387 -1.745 1.008 11.387 0.000 -2.015 11.387" Properties=species:S:1:pos:R:3 comment="Y2TmMg, optimized geometry, DFT PBE" n_ef_per_ev_cell=6.07 m_tot_mub_per_atom=0.000 final_energy_ev_per_atom=-4.704 de_polymorph_kcal_per_mol_atoms=1.72 delta_e_f_ev_per_atom=0.044 pbc="T T T"
Y 0.000 0.000 0.000
Y 0.000 0.000 5.655
Tm 0.000 0.000 19.904
Mg 0.000 0.000 25.601


11.
20
Lattice="4.613 -7.446 0.000 4.613 7.446 0.000 0.000 0.000 8.883" Properties=species:S:1:pos:R:3 comment="Y3Tm6Mg, optimized geometry, DFT PBE" n_ef_per_ev_cell=25.16 m_tot_mub_per_atom=0.000 final_energy_ev_per_atom=-4.647 de_polymorph_kcal_per_mol_atoms=2.44 delta_e_f_ev_per_atom=0.134 pbc="T T T"
Y 4.613 6.876 4.441
Y 2.974 2.184 0.114
Y 2.974 -2.184 4.556
Y 6.253 2.184 0.114
Y 6.253 -2.184 4.556
Y 4.613 -6.876 0.000
Tm 1.615 2.225 3.113
Tm 4.613 4.371 2.128
Tm 2.576 0.954 6.043
Tm 1.615 -2.225 7.555
Tm 2.576 -0.954 1.602
Tm 4.613 0.950 3.253
Tm 4.613 -0.950 7.694
Tm 6.651 0.954 6.043
Tm 7.612 2.225 3.113
Tm 6.651 -0.954 1.602
Tm 4.613 -4.371 6.569
Tm 7.612 -2.225 7.555
Mg 4.613 3.456 5.329
Mg 4.613 -3.456 0.887


12.
15
Lattice="9.864 0.000 0.000 -4.932 8.543 0.000 0.000 0.000 5.673" Properties=species:S:1:pos:R:3 comment="Y8Tm6Mg, optimized geometry, DFT PBE" n_ef_per_ev_cell=26.14 m_tot_mub_per_atom=0.000 final_energy_ev_per_atom=-5.202 delta_e_f_ev_per_atom=0.140 pbc="T T T"
Y -3.349 6.642 1.539
Y 0.855 2.321 1.539
Y 2.438 0.420 4.133
Y 0.000 5.695 1.511
Y 4.932 2.848 4.161
Y 2.494 8.122 1.539
Y 4.077 6.221 4.133
Y 8.281 1.901 4.133
Tm -2.141 5.285 4.343
Tm 1.425 4.046 4.343
Tm 4.217 0.789 1.330
Tm 0.715 7.754 4.343
Tm 3.507 4.497 1.330
Tm 7.073 3.257 1.330
Mg 0.000 0.000 0.000


13.
12
Lattice="5.947 -2.773 0.000 5.947 2.773 0.000 -2.374 0.000 11.457" Properties=species:S:1:pos:R:3 comment="Y4Tm7Mg, optimized geometry, DFT PBE" n_ef_per_ev_cell=18.98 m_tot_mub_per_atom=0.000 final_energy_ev_per_atom=-4.668 delta_e_f_ev_per_atom=0.228 pbc="T T T"
Y 0.286 0.000 3.124
Y 3.763 0.000 2.543
Y 5.757 0.000 8.914
Y 9.234 0.000 8.333
Tm -0.668 0.000 11.152
Tm 1.572 0.000 6.913
Tm 2.516 0.000 10.211
Tm 4.760 0.000 5.728
Tm 7.003 0.000 1.246
Tm 7.947 0.000 4.543
Tm 10.187 0.000 0.305
Mg -1.187 0.000 5.728


14.
8
Lattice="-3.037 4.354 5.021 3.037 -4.354 5.021 3.037 4.354 -5.021" Properties=species:S:1:pos:R:3 comment="Y3Tm4Mg, optimized geometry, DFT PBE" n_ef_per_ev_cell=13.79 m_tot_mub_per_atom=0.000 final_energy_ev_per_atom=-4.436 delta_e_f_ev_per_atom=0.423 pbc="T T T"
Y 0.000 0.000 0.000
Y 3.037 2.703 -1.568
Y 0.000 1.651 3.452
Tm 3.037 1.526 1.586
Tm 1.539 4.354 1.817
Tm 1.498 0.000 6.838
Tm 0.000 2.828 6.606
Mg 3.037 0.000 4.213


15.
4
Lattice="1.748 1.009 11.095 -1.748 1.009 11.095 0.000 -2.018 11.095" Properties=species:S:1:pos:R:3 comment="YTm2Mg, optimized geometry, DFT PBE" n_ef_per_ev_cell=4.88 m_tot_mub_per_atom=0.000 final_energy_ev_per_atom=-4.227 de_polymorph_kcal_per_mol_atoms=1.20 delta_e_f_ev_per_atom=0.023 pbc="T T T"
Y 0.000 0.000 0.000
Tm 0.000 0.000 8.219
Tm 0.000 0.000 25.067
Mg 0.000 0.000 16.643


16.
9
Lattice="7.362 -2.438 0.000 7.362 2.438 0.000 -2.510 0.000 7.406" Properties=species:S:1:pos:R:3 comment="Y3Tm4Mg2, optimized geometry, DFT PBE" n_ef_per_ev_cell=12.82 m_tot_mub_per_atom=0.000 final_energy_ev_per_atom=-4.484 delta_e_f_ev_per_atom=0.012 pbc="T T T"
Y 0.000 0.000 0.000
Y -0.019 0.000 4.937
Y 12.233 0.000 2.468
Tm 2.417 0.000 2.459
Tm 4.851 0.000 4.913
Tm 7.363 0.000 2.492
Tm 9.797 0.000 4.947
Mg 4.873 0.000 0.004
Mg 7.341 0.000 7.402


17.
8
Lattice="-2.621 2.621 7.562 2.621 -2.621 7.562 2.621 2.621 -7.562" Properties=species:S:1:pos:R:3 comment="Y2TmMg5, optimized geometry, DFT PBE" n_ef_per_ev_cell=6.28 m_tot_mub_per_atom=0.030 final_energy_ev_per_atom=-3.246 delta_e_f_ev_per_atom=-0.074 pbc="T T T"
Y 0.000 0.000 3.700
Y 0.000 0.000 11.423
Tm 0.000 0.000 7.562
Mg 0.000 0.000 0.000
Mg 2.621 0.000 1.785
Mg 2.621 0.000 5.777
Mg 0.000 2.621 1.785
Mg 0.000 2.621 5.777


18.
4
Lattice="1.730 0.999 11.362 -1.730 0.999 11.362 0.000 -1.998 11.362" Properties=species:S:1:pos:R:3 comment="YTm2Mg, optimized geometry, DFT PBE" n_ef_per_ev_cell=6.07 m_tot_mub_per_atom=0.000 final_energy_ev_per_atom=-4.198 de_polymorph_kcal_per_mol_atoms=1.87 delta_e_f_ev_per_atom=0.053 pbc="T T T"
Y 0.000 0.000 0.000
Tm 0.000 0.000 14.243
Tm 0.000 0.000 19.851
Mg 0.000 0.000 5.682


19.
11
Lattice="5.918 -5.551 0.000 5.918 5.551 0.000 -2.171 0.000 5.260" Properties=species:S:1:pos:R:3 comment="Y7Tm2Mg2, optimized geometry, DFT PBE" n_ef_per_ev_cell=14.78 m_tot_mub_per_atom=0.000 final_energy_ev_per_atom=-5.039 de_polymorph_kcal_per_mol_atoms=2.64 delta_e_f_ev_per_atom=0.178 pbc="T T T"
Y 0.000 0.000 0.000
Y 1.889 3.260 4.296
Y 1.160 0.000 3.534
Y 7.777 3.260 0.964
Y 1.889 -3.260 4.296
Y 8.505 0.000 1.726
Y 7.777 -3.260 0.964
Tm 4.833 3.099 2.630
Tm 4.833 -3.099 2.630
Mg 4.783 0.000 1.137
Mg 4.883 0.000 4.123


20.
12
Lattice="8.583 -3.467 0.000 8.583 3.467 0.000 -0.133 0.000 6.109" Properties=species:S:1:pos:R:3 comment="Y3Tm2Mg, optimized geometry, DFT PBE" n_ef_per_ev_cell=17.96 m_tot_mub_per_atom=0.000 final_energy_ev_per_atom=-4.959 de_polymorph_kcal_per_mol_atoms=0.94 delta_e_f_ev_per_atom=0.029 pbc="T T T"
Y 8.483 2.542 4.582
Y 5.593 0.869 5.624
Y 5.660 -0.869 2.570
Y 11.374 0.869 3.539
Y 11.440 -0.869 0.485
Y 8.550 -2.542 1.527
Tm 2.784 0.847 3.559
Tm 2.851 -0.847 0.504
Tm 14.182 0.847 5.604
Tm 14.249 -0.847 2.550
Mg 8.550 0.910 1.527
Mg 8.483 -0.910 4.582


21.
7
Lattice="2.607 -11.446 0.000 2.607 11.446 0.000 0.000 0.000 3.468" Properties=species:S:1:pos:R:3 comment="Y3Tm2Mg2, optimized geometry, DFT PBE" n_ef_per_ev_cell=7.25 m_tot_mub_per_atom=0.000 final_energy_ev_per_atom=-4.478 delta_e_f_ev_per_atom=0.025 pbc="T T T"
Y 0.000 0.000 0.000
Y 2.607 7.995 0.000
Y 2.607 -7.995 0.000
Tm 2.607 4.855 1.734
Tm 2.607 -4.855 1.734
Mg 2.607 1.588 1.734
Mg 2.607 -1.588 1.734


22.
4
Lattice="4.862 0.000 0.000 0.000 4.862 0.000 0.000 0.000 4.911" Properties=species:S:1:pos:R:3 comment="YTm2Mg, optimized geometry, DFT PBE" n_ef_per_ev_cell=7.93 m_tot_mub_per_atom=0.000 final_energy_ev_per_atom=-4.218 de_polymorph_kcal_per_mol_atoms=1.41 delta_e_f_ev_per_atom=0.033 pbc="T T T"
Y 0.000 0.000 0.000
Tm 0.000 2.431 2.455
Tm 2.431 0.000 2.455
Mg 2.431 2.431 0.000


23.
5
Lattice="-2.606 3.379 4.139 2.606 -3.379 4.139 2.606 3.379 -4.139" Properties=species:S:1:pos:R:3 comment="Y2TmMg2, optimized geometry, DFT PBE" n_ef_per_ev_cell=6.55 m_tot_mub_per_atom=0.000 final_energy_ev_per_atom=-4.065 de_polymorph_kcal_per_mol_atoms=2.88 delta_e_f_ev_per_atom=0.052 pbc="T T T"
Y 0.000 0.000 1.635
Y 0.000 0.000 6.643
Tm 0.000 3.379 0.000
Mg 2.606 1.423 0.000
Mg 0.000 1.957 4.139


24.
6
Lattice="3.771 0.000 0.000 0.000 3.771 0.000 0.000 0.000 11.291" Properties=species:S:1:pos:R:3 comment="YTm2Mg3, optimized geometry, DFT PBE" n_ef_per_ev_cell=8.64 m_tot_mub_per_atom=0.000 final_energy_ev_per_atom=-3.440 delta_e_f_ev_per_atom=-0.074 pbc="T T T"
Y 0.000 0.000 0.000
Tm 0.000 0.000 3.784
Tm 0.000 0.000 7.508
Mg 1.886 1.886 1.920
Mg 1.886 1.886 5.646
Mg 1.886 1.886 9.371